No. 1
20
Lattice="4.839 0.000 0.000 0.000 10.945 -0.469 0.000 -0.198 11.237" Properties=species:S:1:pos:R:3 comment="Na3NdPb6 (PBE, relaxed)" sg="P2_1/m, No. 11" e_form_ev_per_fu=-2.1 pbc="T T T"
Na 1.210 5.967 4.297
Na 3.629 4.781 6.471
Na 1.210 3.634 8.829
Na 3.629 7.114 1.939
Na 1.210 8.184 -0.280
Na 3.629 2.564 11.048
Nd 1.210 10.175 6.520
Nd 3.629 0.573 4.248
Pb 1.210 4.866 0.990
Pb 3.629 5.881 9.779
Pb 1.210 1.762 2.091
Pb 3.629 8.986 8.677
Pb 1.210 6.859 7.685
Pb 3.629 3.888 3.083
Pb 1.210 2.585 5.636
Pb 3.629 8.163 5.132
Pb 1.210 9.182 3.144
Pb 3.629 1.566 7.625
Pb 1.210 0.319 10.210
Pb 3.629 10.429 0.558

No. 2
12
Lattice="5.758 0.360 -1.047 -0.988 6.357 -3.319 0.739 0.779 9.204" Properties=species:S:1:pos:R:3 comment="NaNd5Pb6 (PBE, relaxed)" sg="P-1, No. 2" e_form_ev_per_fu=-5.6 pbc="T T T"
Pb 4.707 4.526 3.343
Pb 5.200 1.361 4.996
Pb 2.140 4.926 -3.000
Pb 3.369 2.571 7.839
Pb 0.309 6.135 -0.157
Pb 0.802 2.970 1.496
Na 0.000 0.000 0.000
Nd 3.987 1.514 1.711
Nd 2.111 2.746 4.650
Nd -0.494 3.179 -1.659
Nd 3.398 4.750 0.189
Nd 1.522 5.982 3.128

No. 3
10
Lattice="6.463 0.000 0.000 0.000 7.417 -0.001 0.000 -3.708 6.424" Properties=species:S:1:pos:R:3 comment="NaNdPb3 (PBE, relaxed)" e_above_lowest_polymorph_kj_per_mol_fu=69 sg="P6_3/mmc, No. 194" e_form_ev_per_fu=-0.5 pbc="T T T"
Na 0.000 0.000 0.000
Na 3.232 0.000 0.000
Nd 1.616 0.003 4.281
Nd 4.847 3.706 2.142
Pb 1.616 5.230 1.262
Pb 4.847 -1.521 5.161
Pb 1.616 3.708 3.898
Pb 4.847 0.001 2.524
Pb 1.616 2.186 1.263
Pb 4.847 1.524 5.160

No. 4
20
Lattice="-5.949 -1.987 -1.687 -0.253 -3.749 5.387 -5.704 10.877 7.301" Properties=species:S:1:pos:R:3 comment="NaNdPb3 (PBE, relaxed)" e_above_lowest_polymorph_kj_per_mol_fu=0 sg="P2/c, No. 13" e_form_ev_per_fu=-1.3 pbc="T T T"
Na -2.193 -1.266 3.014
Na -9.587 8.284 5.296
Na -9.712 6.407 7.988
Na -2.066 0.606 0.319
Nd -6.920 5.514 5.500
Nd -4.985 -0.373 5.502
Nd -7.797 0.522 1.972
Nd -4.108 4.620 9.029
Pb -4.361 4.983 3.257
Pb -7.413 2.022 5.044
Pb -7.292 3.907 2.358
Pb -4.493 3.119 5.957
Pb -6.579 6.508 10.220
Pb -5.327 -1.367 0.782
Pb -5.035 -3.101 3.593
Pb -6.870 8.242 7.408
Pb -7.304 3.934 8.387
Pb -4.601 1.207 2.614
Pb -1.893 0.280 6.111
Pb -10.012 4.861 4.891

No. 5
20
Lattice="4.921 0.000 0.000 0.000 4.921 0.000 0.000 0.000 24.716" Properties=species:S:1:pos:R:3 comment="Na4NdPb15 (PBE, relaxed)" sg="P4/mmm, No. 123" e_form_ev_per_fu=-3.2 pbc="T T T"
Na 0.000 0.000 4.922
Na 0.000 0.000 9.882
Na 0.000 0.000 14.834
Na 0.000 0.000 19.794
Nd 0.000 0.000 0.000
Pb 2.461 2.461 0.000
Pb 2.461 2.461 4.970
Pb 2.461 2.461 9.880
Pb 2.461 2.461 14.836
Pb 2.461 2.461 19.746
Pb 2.461 0.000 2.507
Pb 2.461 0.000 7.422
Pb 2.461 0.000 12.358
Pb 2.461 0.000 17.294
Pb 2.461 0.000 22.209
Pb 0.000 2.461 2.507
Pb 0.000 2.461 7.422
Pb 0.000 2.461 12.358
Pb 0.000 2.461 17.294
Pb 0.000 2.461 22.209

No. 6
4
Lattice="4.602 0.000 0.000 0.000 5.153 0.000 0.000 0.000 5.153" Properties=species:S:1:pos:R:3 comment="NaNd2Pb (PBE, relaxed)" e_above_lowest_polymorph_kj_per_mol_fu=2 sg="P4/mmm, No. 123" e_form_ev_per_fu=-0.9 pbc="T T T"
Pb 2.301 2.576 2.576
Na 2.301 0.000 0.000
Nd 0.000 0.000 2.576
Nd 0.000 2.576 0.000

No. 7
4
Lattice="4.641 0.000 0.000 0.000 4.983 0.000 0.000 0.000 4.983" Properties=species:S:1:pos:R:3 comment="NaNdPb2 (PBE, relaxed)" sg="P4/mmm, No. 123" e_form_ev_per_fu=-1.5 pbc="T T T"
Pb 0.000 0.000 2.491
Pb 0.000 2.491 0.000
Na 2.321 2.491 2.491
Nd 2.321 0.000 0.000

No. 8
8
Lattice="-3.492 -2.474 -2.353 3.158 -3.619 -0.881 -2.660 -4.411 8.585" Properties=species:S:1:pos:R:3 comment="NaNdPb6 (PBE, relaxed)" sg="P4/mmm, No. 123" e_form_ev_per_fu=-1.9 pbc="T T T"
Na -1.330 -2.205 4.293
Nd 0.000 0.000 0.000
Pb -0.167 -3.047 -1.617
Pb -1.497 -5.252 2.676
Pb -2.423 -2.360 1.010
Pb -3.729 -4.525 5.223
Pb 0.902 -2.933 1.746
Pb -0.404 -5.097 5.959

No. 9
12
Lattice="-3.364 -3.573 0.079 6.419 -5.950 4.199 -3.930 0.426 6.612" Properties=species:S:1:pos:R:3 comment="Na5NdPb6 (PBE, relaxed)" sg="P2/m, No. 10" e_form_ev_per_fu=-2.3 pbc="T T T"
Pb 0.695 -7.303 5.413
Pb -2.510 -4.332 3.316
Pb -0.120 -3.235 1.062
Pb 3.174 -6.288 3.216
Pb 1.634 -4.765 7.574
Pb -1.571 -1.794 5.477
Na -1.651 -5.076 6.552
Na -2.477 -1.008 2.358
Na 3.209 -2.975 2.099
Na 1.601 -8.089 8.531
Na 0.775 -4.021 4.338
Nd 0.000 0.000 0.000

No. 10
4
Lattice="-1.382 -2.180 -4.891 0.593 -5.429 -0.875 -4.465 -3.237 -0.422" Properties=species:S:1:pos:R:3 comment="NaPmNdPb (PBE, relaxed)" sg="F-43m, No. 216" e_form_ev_per_fu=-0.9 pbc="T T T"
Pb -2.627 -5.423 -3.094
Na 0.000 0.000 0.000
Nd -1.314 -2.711 -1.547
Pm -3.941 -8.134 -4.641

No. 11
4
Lattice="-2.710 1.840 4.502 -5.366 1.436 -0.375 -3.904 -3.171 2.388" Properties=species:S:1:pos:R:3 comment="NaPrNdPb (PBE, relaxed)" sg="F-43m, No. 216" e_form_ev_per_fu=-1.0 pbc="T T T"
Pb -5.990 0.053 3.258
Pr -2.995 0.026 1.629
Nd -8.985 0.079 4.887
Na 0.000 0.000 0.000

No. 12
4
Lattice="5.031 0.000 0.000 2.515 4.357 0.000 2.515 1.452 4.107" Properties=species:S:1:pos:R:3 comment="NaNdPtPb (PBE, relaxed)" sg="F-43m, No. 216" e_form_ev_per_fu=-2.2 pbc="T T T"
Pb 5.031 2.904 2.054
Na 2.515 1.452 1.027
Nd 0.000 0.000 0.000
Pt 7.546 4.357 3.081

Number 1: N(E_F) 4.58 states/eV/f.u., magnetization 0.0 μB per formula unit. Number 2: N(E_F) 8.53 states/eV/f.u., magnetization 0.0 μB per formula unit. Number 3: N(E_F) 2.57 states/eV/f.u., magnetization 0.0 μB per formula unit. Number 4: N(E_F) 2.44 states/eV/f.u., magnetization 0.0 μB per formula unit. Number 5: N(E_F) 11.60 states/eV/f.u., magnetization 0.0 μB per formula unit. Number 6: N(E_F) 3.54 states/eV/f.u., magnetization 0.0 μB per formula unit. Number 7: N(E_F) 1.09 states/eV/f.u., magnetization 0.0 μB per formula unit. Number 8: N(E_F) 2.56 states/eV/f.u., magnetization 0.0 μB per formula unit. Number 9: N(E_F) 6.26 states/eV/f.u., magnetization 0.0 μB per formula unit. Number 10: N(E_F) 3.01 states/eV/f.u., magnetization 0.0 μB per formula unit. Number 11: N(E_F) 2.81 states/eV/f.u., magnetization 0.0 μB per formula unit. Number 12: N(E_F) 0.29 states/eV/f.u., magnetization 0.0 μB per formula unit.